## ZnHgRh2I (PBE-GGA)

Data for a relaxed structure of ZnHgRh2I.

- ΔE_f (raw): 978 meV/atom
- Total energy: -2.59 eV per atom
- Mass density: 7927 kg/m³

Lattice parameters (Å, degrees): 4.9361 4.9361 5.1472 90.00 90.00 90.00
Space group P4/mmm (No. 123)
Asymmetric unit:
Zn  0.0000  0.0000  0.0000 (multiplicity 1)
Hg  0.5000  0.5000  0.0000 (multiplicity 1)
Rh  0.0000  0.5000  0.5000 (multiplicity 2)
I  0.0000  0.0000  0.5000 (multiplicity 1)